A plane-wave DFT calculation with GGA-PBE was carried out for an optimized crystal structure of ZrPb3.

Calculated values
Final energy   -19.6 eV for the cell shown

```
data_ZrPb3
_chemical_formula_sum 'Zr1 Pb3'
_symmetry_space_group_name_H-M 'P 1 2/m 1'
_symmetry_Int_Tables_number 10
_symmetry_space_group_name_Hall '-P 2y'
_cell_length_a 4.0929
_cell_length_b 4.1062
_cell_length_c 6.4738
_cell_angle_alpha 90.00
_cell_angle_beta 90.17
_cell_angle_gamma 90.00
loop_
_atom_site_label
_atom_site_type_symbol
_atom_site_fract_x
_atom_site_fract_y
_atom_site_fract_z
Zr1 Zr 0.0000 0.0000 0.0000
Pb1 Pb 0.0000 0.0000 0.5000
Pb2 Pb 0.5003 0.5000 0.2360
```